Compound: SiPt2Se
Source: Alexandria
Functional: PBEsol
Structure: optimized geometry

a = 6.624 Å, b = 6.624 Å, c = 6.624 Å
α = 32.52°, β = 32.52°, γ = 32.52°
Atoms (fractional coordinates):
Si 0.000 0.000 0.000
Pt 0.469 0.469 0.469
Pt 0.712 0.712 0.712
Se 0.198 0.198 0.198

Values from the calculation:
energy above the lowest structure with this stoichiometry = 0.00 eV/f.u.

Compound: SnPtSe3
Source: Alexandria
Functional: PBEsol
Structure: optimized geometry

a = 5.099 Å, b = 5.099 Å, c = 5.099 Å
α = 90.00°, β = 90.00°, γ = 90.00°
Atoms (fractional coordinates):
Sn 0.000 0.000 0.000
Pt 0.500 0.500 0.500
Se 0.000 0.000 0.500
Se 0.000 0.500 0.000
Se 0.500 0.000 0.000

Compound: Sn2PtWSe
Source: Alexandria
Functional: PBEsol
Structure: optimized geometry

a = 5.043 Å, b = 5.043 Å, c = 5.065 Å
α = 90.00°, β = 90.00°, γ = 90.00°
Atoms (fractional coordinates):
Sn 0.000 0.500 0.000
Sn 0.500 0.000 0.000
Pt 0.000 0.000 0.000
W 0.000 0.000 0.500
Se 0.500 0.500 0.500

Compound: SrPtSe
Source: Alexandria
Functional: PBEsol
Structure: optimized geometry

a = 5.751 Å, b = 5.751 Å, c = 5.751 Å
α = 142.64°, β = 142.64°, γ = 53.87°
Atoms (fractional coordinates):
Sr 0.000 0.000 0.000
Pt 0.712 0.712 0.000
Se 0.279 0.279 0.000

Compound: SrPt2Se2
Source: Alexandria
Functional: PBEsol
Structure: optimized geometry

a = 5.732 Å, b = 5.732 Å, c = 5.732 Å
α = 131.46°, β = 131.46°, γ = 71.09°
Atoms (fractional coordinates):
Sr 0.000 0.000 0.000
Pt 0.353 0.353 0.000
Pt 0.647 0.647 0.000
Se 0.250 0.750 0.500
Se 0.750 0.250 0.500

Compound: SrPt3Se
Source: Alexandria
Functional: PBEsol
Structure: optimized geometry

a = 5.060 Å, b = 5.060 Å, c = 5.060 Å
α = 90.00°, β = 90.00°, γ = 90.00°
Atoms (fractional coordinates):
Sr 0.000 0.000 0.000
Pt 0.000 0.000 0.500
Pt 0.000 0.500 0.000
Pt 0.500 0.000 0.000
Se 0.500 0.500 0.500

Values for raw formation energy, eV per formula unit, ordered as above
-0.893; 5.592; 5.101; -1.641; -3.391; 9.317
Values for magnetization, Bohr magnetons per cell, ordered as above
0.000; 1.418; 3.123; 0.000; 0.000; 0.000